This record from Alexandria via LeMat-Bulk describes a relaxed structure of OsCN3. The functional is PBE.

CIF file:
```
data_OsCN3
_chemical_formula_sum 'Os1 C1 N3'
_cell_length_a 3.348
_cell_length_b 3.348
_cell_length_c 3.348
_cell_angle_alpha 90.00
_cell_angle_beta 90.00
_cell_angle_gamma 90.00
_symmetry_space_group_name_H-M 'P m -3 m'
_symmetry_Int_Tables_number 221
_symmetry_space_group_name_Hall '-P 4 2 3'
loop_
_atom_site_label
_atom_site_type_symbol
_atom_site_fract_x
_atom_site_fract_y
_atom_site_fract_z
Os1 Os 0.000 0.000 0.000
C1 C 0.500 0.500 0.500
N1 N 0.000 0.500 0.500
```

Summary:
theoretical density = 10.806 g/cm³
DFT total energy = -6.601 eV/atom
volume = 7.51 Å³/atom



This record from Alexandria via LeMat-Bulk describes a relaxed structure of OsCN. The functional is PBE.

CIF file:
```
data_OsCN
_chemical_formula_sum 'Os2 C2 N2'
_cell_length_a 6.239
_cell_length_b 2.888
_cell_length_c 3.950
_cell_angle_alpha 90.00
_cell_angle_beta 109.13
_cell_angle_gamma 90.00
_symmetry_space_group_name_H-M 'C 1 m 1'
_symmetry_Int_Tables_number 8
loop_
_symmetry_equiv_pos_as_xyz
'x,y,z'
'x,-y,z'
'x+1/2,y+1/2,z'
'x+1/2,-y+1/2,z'
loop_
_atom_site_label
_atom_site_type_symbol
_atom_site_fract_x
_atom_site_fract_y
_atom_site_fract_z
Os1 Os 0.000 0.000 0.000
C1 C 0.238 0.500 0.208
N1 N 0.434 0.500 0.484
```

Summary:
theoretical density = 10.680 g/cm³
DFT total energy = -8.865 eV/atom
E above lowest polymorph = 126 meV per atom
volume = 11.21 Å³/atom